Below is an optimized crystal structure of Pr5DyY3, with properties calculated at the GGA-PBE level.

Lattice parameters (Å, degrees): 20.2996 6.3435 11.7931 90.00 122.20 90.00
Closest atoms and distances in Å follow each position.
Space group C2/c (No. 15)
One atom of each set of equivalent atoms:
Pr 0.0000 0.0899 0.2500 x4  2 Dy 3.09-3.25
Pr 0.1399 0.1779 0.6615 x8  2 Y 3.18-3.53
Pr 0.1791 0.3153 0.3339 x8  4 Y 3.49-3.85, 5 Pr 3.51-3.66, 1 Dy 3.70
Dy 0.0000 0.3972 0.7500 x4  2 Y 3.02, 2 Pr 3.09-3.25
Y 0.0000 0.5000 0.0000 x4  2 Dy 3.02, 2 Pr 3.18
Y 0.1750 0.2734 0.0260 x8  1 Dy 3.39, 2 Y 3.43-3.69, 4 Pr 3.49-3.61

Results
distance to the lowest polymorph of the same formula = 0.0 meV per atom
energy relative to the elements = 265 meV per atom


Below is an optimized crystal structure of Ce2UCuS6, with properties calculated at the GGA-PBE level.

Lattice parameters (Å, degrees): 6.5914 6.5914 5.7096 90.00 90.00 90.00
Closest atoms and distances in Å follow each position.
Space group P4mm (No. 99)
One atom of each set of equivalent atoms:
Ce 0.0000 0.5000 0.0000 x2  4 S 2.87
U 0.0000 0.0000 0.6190 x1  5 S 2.51-2.71
Cu 0.5000 0.5000 0.5450 x1  5 S 2.20-2.40
S 0.0000 0.0000 0.1443 x1  2 U 2.71-3.00
S 0.2633 0.2633 0.7089 x4  1 Cu 2.40, 1 U 2.51
S 0.5000 0.5000 0.1593 x1  1 Cu 2.20

Results
E_form (uncorrected) = -1.20 eV/atom


Below is an optimized crystal structure of Cs4Pr3HoO8, with properties calculated at the GGA-PBE level.

Lattice parameters (Å, degrees): 7.3812 7.3812 20.8404 90.00 90.00 120.00
Closest atoms and distances in Å follow each position.
Space group R-3m (No. 166, hexagonal axes)
One atom of each set of equivalent atoms:
Cs 0.0000 0.0000 0.0000 x3  6 O 3.19
Cs 0.0000 0.5000 0.0000 x9  6 O 3.11-3.13
Pr 0.0000 0.5000 0.5000 x9  6 O 2.44-2.47
Ho 0.0000 0.0000 0.5000 x3  6 O 2.36
O 0.0000 0.0000 0.2236 x6  3 Pr 2.44
O 0.0120 0.5060 0.2228 x18  1 Ho 2.36, 2 Pr 2.47

Results
E_form (uncorrected) = -2.51 eV/atom


Below is an optimized crystal structure of PuPaFePt, with properties calculated at the GGA-PBE level.

Lattice parameters (Å, degrees): 6.8731 6.8731 6.8731 90.00 90.00 90.00
Closest atoms and distances in Å follow each position.
Space group F-43m (No. 216)
One atom of each set of equivalent atoms:
Pu 0.0000 0.0000 0.0000 x4  4 Fe 2.98, 4 Pt 2.98
Pa 0.0000 0.0000 0.5000 x4  4 Fe 2.98, 4 Pt 2.98
Fe 0.2500 0.2500 0.2500 x4  4 Pa 2.98, 4 Pu 2.98
Pt 0.2500 0.2500 0.7500 x4  4 Pa 2.98, 4 Pu 2.98

Results
distance to the lowest polymorph of the same formula = 196.1 meV per atom
energy relative to the elements = -285 meV per atom


Below is an optimized crystal structure of HoScTl2O6, with properties calculated at the GGA-PBE level.

Lattice parameters (Å, degrees): 5.6979 5.6979 15.1014 90.00 90.00 120.00
Closest atoms and distances in Å follow each position.
Space group R3 (No. 146, hexagonal axes)
One atom of each set of equivalent atoms:
Ho 0.0000 0.0000 0.0000 x3  6 O 2.23-2.33
Sc 0.0000 0.0000 0.4966 x3  6 O 2.12-2.19
Tl 0.0000 0.0000 0.2788 x3  6 O 2.24-2.47
Tl 0.0000 0.0000 0.7812 x3  6 O 2.22-2.47
O 0.0445 0.3468 0.5637 x9  1 Sc 2.12, 1 Tl 2.24, 1 Ho 2.33
O 0.0533 0.6823 0.0676 x9  1 Sc 2.19, 1 Tl 2.22, 1 Ho 2.23

Results
E_form (uncorrected) = -2.07 eV/atom


Below is an optimized crystal structure of PrErPu2P4, with properties calculated at the GGA-PBE level.

Lattice parameters (Å, degrees): 6.9760 4.0458 6.9896 90.00 109.64 90.00
Closest atoms and distances in Å follow each position.
Space group P2/m (No. 10)
One atom of each set of equivalent atoms:
Pr 0.0000 0.0000 0.0000 x1  6 P 2.91-2.92
Er 0.0000 0.5000 0.5000 x1  6 P 2.85-2.86
Pu 0.5000 0.0000 0.5000 x1  6 P 2.78-2.79
Pu 0.5000 0.5000 0.0000 x1  6 P 2.85-2.86
P 0.2565 0.0000 0.7460 x2  3 Pu 2.79-2.85, 2 Er 2.86, 1 Pr 2.91
P 0.2623 0.5000 0.2628 x2  3 Pu 2.78-2.86, 1 Er 2.85, 2 Pr 2.92

Results
energy relative to the elements = -1311 meV per atom